1.
Density functional theory data (GGA-PBE) for crystalline Na6TlHg12 at its relaxed geometry.

Summary:
DFT formation energy ... -0.176 eV/atom
Fermi-level density of states ... 14.90 states/eV/cell

abc: 11.7813 11.7813 12.8350
angles: 90.00 90.00 120.00
Space group R-3 (No. 148, hexagonal axes)
Asymmetric unit:
1 Na 0.0173 0.4258 0.2187 [18 per cell]
2 Tl 0.0000 0.0000 0.5000 [3 per cell]
3 Hg 0.0479 0.1933 0.3169 [18 per cell]
4 Hg 0.0554 0.8635 0.9012 [18 per cell]

---

2.
Density functional theory data (GGA-PBE) for crystalline Na5TlHg2 at its relaxed geometry.

Summary:
DFT formation energy ... -0.158 eV/atom
Fermi-level density of states ... 13.22 states/eV/cell
Offset from the most stable computed form ... 0.000 eV/atom

abc: 8.1920 8.1920 14.1749
angles: 90.00 90.00 90.00
Space group I4/mcm (No. 140)
Asymmetric unit:
1 Na 0.0000 0.0000 0.0000 [4 per cell]
2 Na 0.1637 0.3363 0.1502 [16 per cell]
3 Tl 0.0000 0.0000 0.2500 [4 per cell]
4 Hg 0.1336 0.3664 0.5000 [8 per cell]

---

3.
Density functional theory data (GGA-PBE) for crystalline Na4Tl2Hg3 at its relaxed geometry.

Summary:
DFT formation energy ... -0.178 eV/atom
Fermi-level density of states ... 3.89 states/eV/cell

abc: 4.9986 5.8457 9.6987
angles: 106.26 90.06 115.28
Space group P-1 (No. 2)
Asymmetric unit:
1 Na 0.0386 0.0779 0.3465 [2 per cell]
2 Na 0.3516 0.7039 0.1058 [2 per cell]
3 Tl 0.2946 0.5880 0.7487 [2 per cell]
4 Hg 0.0000 0.0000 0.0000 [1 per cell]
5 Hg 0.3517 0.7036 0.4318 [2 per cell]